(1)
# SiAs2P | Alexandria | PBE | optimized geometry
# offset from the most stable computed form: 480.4 meV per atom
# SG: Pmmm
data_SiAs2P
_cell_length_a 3.257
_cell_length_b 3.171
_cell_length_c 6.529
_cell_angle_alpha 90.00
_cell_angle_beta 90.00
_cell_angle_gamma 90.00
_symmetry_space_group_name_H-M 'P 1'
_symmetry_Int_Tables_number 1
loop_
_symmetry_equiv_pos_as_xyz
'x,y,z'
loop_
_atom_site_label
_atom_site_type_symbol
_atom_site_fract_x
_atom_site_fract_y
_atom_site_fract_z
As1 As 0.000 0.000 0.998
As2 As 0.000 0.000 0.502
P1 P 0.500 0.500 0.250
Si1 Si 0.500 0.500 0.750

(2)
# Sm6Ag5Sn | Alexandria | PBE | optimized geometry
# SG: P2/m
# ΔE_f: -0.351 eV per atom
data_Sm6Ag5Sn
_cell_length_a 5.264
_cell_length_b 7.499
_cell_length_c 8.340
_cell_angle_alpha 90.00
_cell_angle_beta 71.65
_cell_angle_gamma 90.00
_symmetry_space_group_name_H-M 'P 1'
_symmetry_Int_Tables_number 1
loop_
_symmetry_equiv_pos_as_xyz
'x,y,z'
loop_
_atom_site_label
_atom_site_type_symbol
_atom_site_fract_x
_atom_site_fract_y
_atom_site_fract_z
Sm1 Sm 0.831 0.748 0.337
Sm2 Sm 0.831 0.252 0.337
Sm3 Sm 0.500 0.255 0.000
Sm4 Sm 0.500 0.745 0.000
Sm5 Sm 0.169 0.748 0.663
Sm6 Sm 0.169 0.252 0.663
Ag1 Ag 0.666 0.500 0.667
Ag2 Ag 0.333 0.000 0.333
Ag3 Ag 0.000 0.500 0.000
Ag4 Ag 0.667 0.000 0.667
Ag5 Ag 0.334 0.500 0.333
Sn1 Sn 0.000 0.000 0.000

(3)
# Dy4B | Alexandria | PBE | optimized geometry
# SG: Pm-3m
# ΔE_f: 0.074 eV per atom
data_Dy4B
_cell_length_a 5.159
_cell_length_b 5.159
_cell_length_c 5.159
_cell_angle_alpha 90.00
_cell_angle_beta 90.00
_cell_angle_gamma 90.00
_symmetry_space_group_name_H-M 'P 1'
_symmetry_Int_Tables_number 1
loop_
_symmetry_equiv_pos_as_xyz
'x,y,z'
loop_
_atom_site_label
_atom_site_type_symbol
_atom_site_fract_x
_atom_site_fract_y
_atom_site_fract_z
B1 B 0.500 0.500 0.500
Dy1 Dy 0.000 0.000 0.000
Dy2 Dy 0.500 0.000 0.500
Dy3 Dy 0.000 0.500 0.500
Dy4 Dy 0.500 0.500 0.000

(4)
# CsGePt2Pb | Alexandria | PBE | optimized geometry
# offset from the most stable computed form: 0.0 meV per atom
# SG: P2_1/m
# ΔE_f: -0.327 eV per atom
data_CsGePt2Pb
_cell_length_a 4.313
_cell_length_b 7.854
_cell_length_c 9.547
_cell_angle_alpha 102.46
_cell_angle_beta 90.00
_cell_angle_gamma 90.00
_symmetry_space_group_name_H-M 'P 1'
_symmetry_Int_Tables_number 1
loop_
_symmetry_equiv_pos_as_xyz
'x,y,z'
loop_
_atom_site_label
_atom_site_type_symbol
_atom_site_fract_x
_atom_site_fract_y
_atom_site_fract_z
Cs1 Cs 0.250 0.950 0.239
Cs2 Cs 0.750 0.050 0.761
Ge1 Ge 0.250 0.305 0.045
Ge2 Ge 0.750 0.695 0.955
Pt1 Pt 0.750 0.530 0.704
Pt2 Pt 0.250 0.470 0.296
Pt3 Pt 0.750 0.473 0.103
Pt4 Pt 0.250 0.527 0.897
Pb1 Pb 0.250 0.356 0.562
Pb2 Pb 0.750 0.644 0.438

(5)
# Ba5TlCd4 | Alexandria | PBE | optimized geometry
# SG: P4/mmm
# ΔE_f: -0.344 eV per atom
data_Ba5TlCd4
_cell_length_a 4.271
_cell_length_b 4.271
_cell_length_c 21.304
_cell_angle_alpha 90.00
_cell_angle_beta 90.00
_cell_angle_gamma 90.00
_symmetry_space_group_name_H-M 'P 1'
_symmetry_Int_Tables_number 1
loop_
_symmetry_equiv_pos_as_xyz
'x,y,z'
loop_
_atom_site_label
_atom_site_type_symbol
_atom_site_fract_x
_atom_site_fract_y
_atom_site_fract_z
Ba1 Ba 0.500 0.500 0.100
Ba2 Ba 0.500 0.500 0.300
Ba3 Ba 0.500 0.500 0.500
Ba4 Ba 0.500 0.500 0.700
Ba5 Ba 0.500 0.500 0.900
Tl1 Tl 0.000 0.000 0.000
Cd1 Cd 0.000 0.000 0.200
Cd2 Cd 0.000 0.000 0.401
Cd3 Cd 0.000 0.000 0.599
Cd4 Cd 0.000 0.000 0.800

(6)
# Sm3GeIr2 | Alexandria | PBE | optimized geometry
# SG: Pnma
# ΔE_f: -0.703 eV per atom
data_Sm3GeIr2
_cell_length_a 4.014
_cell_length_b 12.157
_cell_length_c 11.866
_cell_angle_alpha 90.00
_cell_angle_beta 90.00
_cell_angle_gamma 90.00
_symmetry_space_group_name_H-M 'P 1'
_symmetry_Int_Tables_number 1
loop_
_symmetry_equiv_pos_as_xyz
'x,y,z'
loop_
_atom_site_label
_atom_site_type_symbol
_atom_site_fract_x
_atom_site_fract_y
_atom_site_fract_z
Sm1 Sm 0.250 0.381 0.055
Sm2 Sm 0.750 0.619 0.945
Sm3 Sm 0.750 0.881 0.445
Sm4 Sm 0.250 0.119 0.555
Sm5 Sm 0.250 0.685 0.198
Sm6 Sm 0.750 0.315 0.802
Sm7 Sm 0.750 0.185 0.302
Sm8 Sm 0.250 0.815 0.698
Sm9 Sm 0.250 0.438 0.372
Sm10 Sm 0.750 0.562 0.628
Sm11 Sm 0.750 0.938 0.128
Sm12 Sm 0.250 0.062 0.872
Ge1 Ge 0.250 0.135 0.122
Ge2 Ge 0.750 0.865 0.878
Ge3 Ge 0.750 0.635 0.378
Ge4 Ge 0.250 0.365 0.622
Ir1 Ir 0.250 0.690 0.488
Ir2 Ir 0.750 0.310 0.512
Ir3 Ir 0.750 0.190 0.012
Ir4 Ir 0.250 0.810 0.988
Ir5 Ir 0.250 0.015 0.312
Ir6 Ir 0.750 0.985 0.688
Ir7 Ir 0.750 0.515 0.188
Ir8 Ir 0.250 0.485 0.812

(7)
# InNi | Alexandria | PBE | optimized geometry
# SG: Pm-3n
# ΔE_f: 0.692 eV per atom
data_InNi
_cell_length_a 7.106
_cell_length_b 7.106
_cell_length_c 7.106
_cell_angle_alpha 90.00
_cell_angle_beta 90.00
_cell_angle_gamma 90.00
_symmetry_space_group_name_H-M 'P 1'
_symmetry_Int_Tables_number 1
loop_
_symmetry_equiv_pos_as_xyz
'x,y,z'
loop_
_atom_site_label
_atom_site_type_symbol
_atom_site_fract_x
_atom_site_fract_y
_atom_site_fract_z
In1 In 0.250 0.500 0.000
In2 In 0.750 0.500 0.000
In3 In 0.500 0.000 0.250
In4 In 0.500 0.000 0.750
In5 In 0.000 0.250 0.500
In6 In 0.000 0.750 0.500
Ni1 Ni 0.250 0.000 0.500
Ni2 Ni 0.750 0.000 0.500
Ni3 Ni 0.000 0.500 0.250
Ni4 Ni 0.000 0.500 0.750
Ni5 Ni 0.500 0.250 0.000
Ni6 Ni 0.500 0.750 0.000

(8)
# FeMoOsSe2 | Alexandria | PBE | optimized geometry
# E_tot: -6.11 eV per atom
# SG: P4/mmm
data_FeMoOsSe2
_cell_length_a 4.448
_cell_length_b 4.424
_cell_length_c 4.448
_cell_angle_alpha 90.00
_cell_angle_beta 90.00
_cell_angle_gamma 90.00
_symmetry_space_group_name_H-M 'P 1'
_symmetry_Int_Tables_number 1
loop_
_symmetry_equiv_pos_as_xyz
'x,y,z'
loop_
_atom_site_label
_atom_site_type_symbol
_atom_site_fract_x
_atom_site_fract_y
_atom_site_fract_z
Mo1 Mo 0.000 0.500 0.000
Os1 Os 0.500 0.500 0.500
Fe1 Fe 0.000 0.000 0.000
Se1 Se 0.000 0.000 0.500
Se2 Se 0.500 0.000 0.000

(9)
# CaLaTeBr | Alexandria | PBE | optimized geometry
# offset from the most stable computed form: 58.3 meV per atom
# SG: Pmm2
data_CaLaTeBr
_cell_length_a 4.197
_cell_length_b 4.272
_cell_length_c 7.132
_cell_angle_alpha 90.00
_cell_angle_beta 90.00
_cell_angle_gamma 90.00
_symmetry_space_group_name_H-M 'P 1'
_symmetry_Int_Tables_number 1
loop_
_symmetry_equiv_pos_as_xyz
'x,y,z'
loop_
_atom_site_label
_atom_site_type_symbol
_atom_site_fract_x
_atom_site_fract_y
_atom_site_fract_z
Ca1 Ca 0.500 0.500 0.509
Te1 Te 0.500 0.000 0.182
Br1 Br 0.000 0.000 0.670
La1 La 0.000 0.500 0.008

(10)
# PmRh2Pb | Alexandria | PBE | optimized geometry
# offset from the most stable computed form: 3.7 meV per atom
# SG: P4/mmm
# ΔE_f: -0.472 eV per atom
data_PmRh2Pb
_cell_length_a 3.780
_cell_length_b 4.606
_cell_length_c 4.606
_cell_angle_alpha 90.00
_cell_angle_beta 90.00
_cell_angle_gamma 90.00
_symmetry_space_group_name_H-M 'P 1'
_symmetry_Int_Tables_number 1
loop_
_symmetry_equiv_pos_as_xyz
'x,y,z'
loop_
_atom_site_label
_atom_site_type_symbol
_atom_site_fract_x
_atom_site_fract_y
_atom_site_fract_z
Pb1 Pb 0.500 0.000 0.000
Rh1 Rh 0.000 0.000 0.500
Rh2 Rh 0.000 0.500 0.000
Pm1 Pm 0.500 0.500 0.500

(11)
# Rb3InH4 | Alexandria | PBE | optimized geometry
# E_tot: -2.48 eV per atom
# SG: Pmn2_1
data_Rb3InH4
_cell_length_a 5.930
_cell_length_b 5.841
_cell_length_c 10.700
_cell_angle_alpha 90.00
_cell_angle_beta 90.00
_cell_angle_gamma 90.00
_symmetry_space_group_name_H-M 'P 1'
_symmetry_Int_Tables_number 1
loop_
_symmetry_equiv_pos_as_xyz
'x,y,z'
loop_
_atom_site_label
_atom_site_type_symbol
_atom_site_fract_x
_atom_site_fract_y
_atom_site_fract_z
Rb1 Rb 0.535 0.782 0.000
Rb2 Rb 0.035 0.734 0.249
Rb3 Rb 0.535 0.266 0.251
Rb4 Rb 0.035 0.218 0.500
Rb5 Rb 0.535 0.266 0.749
Rb6 Rb 0.035 0.734 0.751
In1 In 0.072 0.268 0.000
In2 In 0.572 0.732 0.500
H1 H 0.029 0.940 0.000
H2 H 0.754 0.324 0.000
H3 H 0.028 0.233 0.230
H4 H 0.528 0.767 0.270
H5 H 0.254 0.676 0.500
H6 H 0.529 0.060 0.500
H7 H 0.528 0.767 0.730
H8 H 0.028 0.233 0.770

(12)
# Ba2AlB | Alexandria | PBE | optimized geometry
# offset from the most stable computed form: 423.3 meV per atom
# SG: Fm-3m
# ΔE_f: 0.636 eV per atom
data_Ba2AlB
_cell_length_a 5.595
_cell_length_b 5.595
_cell_length_c 5.595
_cell_angle_alpha 60.00
_cell_angle_beta 60.00
_cell_angle_gamma 60.00
_symmetry_space_group_name_H-M 'P 1'
_symmetry_Int_Tables_number 1
loop_
_symmetry_equiv_pos_as_xyz
'x,y,z'
loop_
_atom_site_label
_atom_site_type_symbol
_atom_site_fract_x
_atom_site_fract_y
_atom_site_fract_z
B1 B 0.000 0.000 0.000
Ba1 Ba 0.250 0.250 0.250
Ba2 Ba 0.750 0.750 0.750
Al1 Al 0.500 0.500 0.500